# Mn2RuCS PBE optimized geometry
# **Uncorrected energy**: -6.62 eV/atom
# **Space-group type**: P4/mmm, No. 123
# **Formation energy without anion corrections**: 1.5778 eV per atom
# **Density**: 6.78 g/cm³
# **Total magnetization**: 0.36 μB per cell
data_Mn2RuCS
_symmetry_space_group_name_H-M 'P 1'
_symmetry_Int_Tables_number 1
_symmetry_space_group_name_Hall 'P 1'
_cell_length_a 4.1537
_cell_length_b 4.1537
_cell_length_c 3.6214
_cell_angle_alpha 90.00
_cell_angle_beta 90.00
_cell_angle_gamma 90.00
loop_
_atom_site_label
_atom_site_type_symbol
_atom_site_fract_x
_atom_site_fract_y
_atom_site_fract_z
Mn1 Mn 0.0000 0.5000 0.0000
Mn2 Mn 0.5000 0.0000 0.0000
Ru1 Ru 0.0000 0.0000 0.5000
C1 C 0.5000 0.5000 0.5000
S1 S 0.5000 0.5000 0.0000